Record 1
First-principles (PBE) data for an optimized crystal structure of KRbBS2, as listed in Alexandria via LeMat-Bulk.

The structure in POSCAR format:
```
KRbBS2
1.0
8.634 0.000 0.000
0.000 4.604 0.000
-0.082 0.000 8.773
K Rb B S
2 2 2 4
direct
0.000 0.009 0.250
0.000 0.991 0.750
0.500 0.270 0.750
0.500 0.730 0.250
0.000 0.500 0.000
0.000 0.500 0.500
0.196 0.498 0.000
0.196 0.502 0.500
0.804 0.498 0.500
0.804 0.502 0.000
```

Calculated values
For the formation energy (no corrections), the calculation gives -0.578 eV per atom. The total magnetization is 0.0 Bohr magnetons per cell.

Record 2
First-principles (PBE) data for an optimized crystal structure of Tb4SbTe2S, as listed in Alexandria via LeMat-Bulk.

The structure in POSCAR format:
```
Tb4SbTe2S
1.0
-4.226 4.331 6.065
4.226 -4.331 6.065
4.226 4.331 -6.065
Tb Sb Te S
8 2 4 2
direct
0.269 0.264 0.495
0.269 0.774 0.005
0.280 0.248 0.033
0.285 0.752 0.533
0.715 0.248 0.467
0.720 0.752 0.967
0.731 0.226 0.995
0.731 0.736 0.505
0.000 0.000 0.000
0.500 0.000 0.500
0.000 0.000 0.500
0.000 0.500 0.000
0.000 0.500 0.500
0.500 0.500 0.000
0.500 0.000 0.000
0.500 0.500 0.500
```

Calculated values
For the formation energy (no corrections), the calculation gives -1.447 eV per atom. The total magnetization is 0.0 Bohr magnetons per cell.

Record 3
First-principles (PBE) data for an optimized crystal structure of AlTl3Co, as listed in Alexandria via LeMat-Bulk.

The structure in POSCAR format:
```
AlTl3Co
1.0
5.381 0.000 0.000
0.000 5.381 0.000
0.000 0.000 5.381
Al Tl Co
1 3 1
direct
0.000 0.000 0.000
0.000 0.000 0.500
0.000 0.500 0.000
0.500 0.000 0.000
0.500 0.500 0.500
```

Calculated values
The value obtained for the offset from the most stable computed form is 515 meV/atom. Its calculated formation energy is 0.93 eV per atom. The total magnetization is 2.1 Bohr magnetons per cell.

Record 4
First-principles (PBE) data for an optimized crystal structure of GeOs, as listed in Alexandria via LeMat-Bulk.

The structure in POSCAR format:
```
GeOs
1.0
4.459 -1.507 0.000
4.459 1.507 0.000
-1.531 0.000 4.392
Ge Os
2 2
direct
0.116 0.116 0.317
0.884 0.884 0.683
0.370 0.370 0.203
0.630 0.630 0.797
```

Calculated values
Its calculated formation energy is 0.15 eV per atom. The total magnetization is 0.0 Bohr magnetons per cell.

Record 5
First-principles (PBE) data for an optimized crystal structure of V6Ni2C, as listed in Alexandria via LeMat-Bulk.

The structure in POSCAR format:
```
V6Ni2C
1.0
3.015 0.000 0.000
0.000 5.558 3.205
0.000 -5.558 3.205
V Ni C
6 2 1
direct
0.000 0.000 0.000
0.000 0.525 0.762
0.000 0.762 0.525
0.500 0.132 0.763
0.500 0.392 0.392
0.500 0.763 0.132
0.000 0.096 0.430
0.000 0.430 0.096
0.500 0.762 0.762
```

Calculated values
Its calculated formation energy is -0.16 eV per atom. The total magnetization is 0.0 Bohr magnetons per cell.

Record 6
First-principles (PBE) data for an optimized crystal structure of SrHfAu2, as listed in Alexandria via LeMat-Bulk.

The structure in POSCAR format:
```
SrHfAu2
1.0
3.518 0.000 0.000
0.000 3.518 0.000
0.000 0.000 7.577
Sr Hf Au
1 1 2
direct
0.000 0.000 0.000
0.000 0.000 0.500
0.500 0.500 0.302
0.500 0.500 0.698
```

Calculated values
The value obtained for the offset from the most stable computed form is 0 meV/atom. Its calculated formation energy is -0.53 eV per atom. The total magnetization is 0.0 Bohr magnetons per cell.

Record 7
First-principles (PBE) data for an optimized crystal structure of ScAg2Au, as listed in Alexandria via LeMat-Bulk.

The structure in POSCAR format:
```
ScAg2Au
1.0
0.000 3.342 3.342
3.342 0.000 3.342
3.342 3.342 0.000
Sc Ag Au
1 2 1
direct
0.000 0.000 0.000
0.500 0.500 0.500
0.750 0.750 0.750
0.250 0.250 0.250
```

Calculated values
The value obtained for the offset from the most stable computed form is 10 meV/atom. Its calculated formation energy is -0.36 eV per atom. The total magnetization is 0.0 Bohr magnetons per cell.

Record 8
First-principles (PBE) data for an optimized crystal structure of KLi2Zn, as listed in Alexandria via LeMat-Bulk.

The structure in POSCAR format:
```
KLi2Zn
1.0
-1.672 2.983 5.586
1.672 -2.983 5.586
1.672 2.983 -5.586
K Li Zn
1 2 1
direct
0.000 0.000 0.000
0.301 0.801 0.500
0.699 0.199 0.500
0.500 0.500 0.000
```

Calculated values
Its calculated formation energy is 0.12 eV per atom. The total magnetization is 0.0 Bohr magnetons per cell.

Record 9
First-principles (PBE) data for an optimized crystal structure of Ce2GaRh, as listed in Alexandria via LeMat-Bulk.

The structure in POSCAR format:
```
Ce2GaRh
1.0
6.842 -1.877 0.000
6.842 1.877 0.000
-0.240 0.000 7.301
Ce Ga Rh
4 2 2
direct
0.050 0.050 0.278
0.233 0.233 0.733
0.767 0.767 0.267
0.950 0.950 0.722
0.404 0.404 0.044
0.596 0.596 0.956
0.397 0.397 0.412
0.603 0.603 0.588
```

Calculated values
Its calculated formation energy is -0.60 eV per atom. The total magnetization is 2.4 Bohr magnetons per cell.

Record 10
First-principles (PBE) data for an optimized crystal structure of LaNdSm2Tm5, as listed in Alexandria via LeMat-Bulk.

The structure in POSCAR format:
```
LaNdSm2Tm5
1.0
-4.357 4.357 7.710
4.357 -4.357 7.710
4.357 4.357 -7.710
La Nd Sm Tm
2 2 4 10
direct
0.250 0.250 0.000
0.750 0.750 0.000
0.250 0.750 0.500
0.750 0.250 0.500
0.117 0.617 0.734
0.383 0.117 0.500
0.617 0.883 0.500
0.883 0.383 0.266
0.000 0.000 0.000
0.073 0.158 0.500
0.158 0.658 0.085
0.342 0.427 0.500
0.427 0.927 0.085
0.500 0.500 0.000
0.573 0.073 0.915
0.658 0.573 0.500
0.842 0.342 0.915
0.927 0.842 0.500
```

Calculated values
Its calculated formation energy is 0.25 eV per atom. The total magnetization is 0.0 Bohr magnetons per cell.

Record 11
First-principles (PBE) data for an optimized crystal structure of Ho2InSn2Rh5, as listed in Alexandria via LeMat-Bulk.

The structure in POSCAR format:
```
Ho2InSn2Rh5
1.0
10.116 0.000 0.000
0.000 10.116 0.000
0.000 0.000 3.744
Ho In Sn Rh
4 2 4 10
direct
0.171 0.329 0.000
0.329 0.829 0.000
0.671 0.171 0.000
0.829 0.671 0.000
0.000 0.000 0.000
0.500 0.500 0.000
0.128 0.628 0.000
0.372 0.128 0.000
0.628 0.872 0.000
0.872 0.372 0.000
0.000 0.500 0.500
0.062 0.798 0.500
0.202 0.062 0.500
0.298 0.562 0.500
0.438 0.298 0.500
0.500 0.000 0.500
0.562 0.702 0.500
0.702 0.438 0.500
0.798 0.938 0.500
0.938 0.202 0.500
```

Calculated values
Its calculated formation energy is -0.59 eV per atom. The total magnetization is 0.0 Bohr magnetons per cell.

Record 12
First-principles (PBE) data for an optimized crystal structure of LiCaZrAu2, as listed in Alexandria via LeMat-Bulk.

The structure in POSCAR format:
```
LiCaZrAu2
1.0
5.256 0.000 0.000
0.000 5.256 0.000
0.000 0.000 5.705
Li Ca Zr Au
1 1 1 2
direct
0.000 0.000 0.000
0.500 0.500 0.000
0.500 0.500 0.500
0.000 0.500 0.500
0.500 0.000 0.500
```

Calculated values
Its calculated formation energy is 0.44 eV per atom. The total magnetization is 0.0 Bohr magnetons per cell.

Record 13
First-principles (PBE) data for an optimized crystal structure of LiNi14Ru, as listed in Alexandria via LeMat-Bulk.

The structure in POSCAR format:
```
LiNi14Ru
1.0
8.195 0.000 0.000
0.000 2.505 4.334
0.000 -2.505 4.334
Li Ni Ru
1 14 1
direct
0.000 0.000 0.000
0.000 0.001 0.498
0.000 0.498 0.001
0.250 0.332 0.332
0.251 0.832 0.832
0.252 0.332 0.834
0.252 0.834 0.332
0.500 0.166 0.166
0.500 0.166 0.666
0.500 0.666 0.166
0.500 0.666 0.666
0.748 0.332 0.834
0.748 0.834 0.332
0.749 0.832 0.832
0.750 0.332 0.332
0.000 0.501 0.501
```

Calculated values
Its calculated formation energy is 0.04 eV per atom. The total magnetization is 9.5 Bohr magnetons per cell.

Record 14
First-principles (PBE) data for an optimized crystal structure of DyYTeP, as listed in Alexandria via LeMat-Bulk.

The structure in POSCAR format:
```
DyYTeP
1.0
2.039 1.177 7.234
-2.039 1.177 7.234
0.000 -2.354 7.234
Dy Y Te P
1 1 1 1
direct
0.000 0.000 0.000
0.194 0.194 0.194
0.430 0.430 0.430
0.599 0.599 0.599
```

Calculated values
For the formation energy (no corrections), the calculation gives -1.535 eV per atom. The total magnetization is 0.0 Bohr magnetons per cell.

Record 15
First-principles (PBE) data for an optimized crystal structure of SiHgAu2, as listed in Alexandria via LeMat-Bulk.

The structure in POSCAR format:
```
SiHgAu2
1.0
-3.534 3.534 3.495
3.534 -3.534 3.495
3.534 3.534 -3.495
Si Hg Au
2 2 4
direct
0.000 0.000 0.000
0.750 0.250 0.500
0.250 0.750 0.500
0.500 0.500 0.000
0.075 0.125 0.450
0.375 0.925 0.050
0.675 0.625 0.550
0.875 0.325 0.950
```

Calculated values
The value obtained for the offset from the most stable computed form is 111 meV/atom. For the formation energy (no corrections), the calculation gives 0.176 eV per atom. The total magnetization is 0.0 Bohr magnetons per cell.

Record 16
First-principles (PBE) data for an optimized crystal structure of SrZn2Mo, as listed in Alexandria via LeMat-Bulk.

The structure in POSCAR format:
```
SrZn2Mo
1.0
3.351 -3.862 0.000
3.351 3.862 0.000
0.000 0.000 2.947
Sr Zn Mo
1 2 1
direct
0.000 0.000 0.000
0.000 0.500 0.500
0.500 0.000 0.500
0.500 0.500 0.000
```

Calculated values
The value obtained for the offset from the most stable computed form is 157 meV/atom. Its calculated formation energy is 0.44 eV per atom. The total magnetization is 0.0 Bohr magnetons per cell.

Record 17
First-principles (PBE) data for an optimized crystal structure of HoGa7Tc2, as listed in Alexandria via LeMat-Bulk.

The structure in POSCAR format:
```
HoGa7Tc2
1.0
4.423 -5.248 0.000
4.423 5.248 0.000
0.000 0.000 4.737
Ho Ga Tc
1 7 2
direct
0.000 0.000 0.000
0.102 0.354 0.500
0.298 0.702 0.000
0.354 0.102 0.500
0.500 0.500 0.500
0.646 0.898 0.500
0.702 0.298 0.000
0.898 0.646 0.500
0.264 0.736 0.500
0.736 0.264 0.500
```

Calculated values
Its calculated formation energy is -0.07 eV per atom. The total magnetization is 0.0 Bohr magnetons per cell.

Record 18
First-principles (PBE) data for an optimized crystal structure of Ac3Pm5Ru2, as listed in Alexandria via LeMat-Bulk.

The structure in POSCAR format:
```
Ac3Pm5Ru2
1.0
-6.275 7.379 3.611
6.275 -7.379 3.611
6.275 7.379 -3.611
Ac Pm Ru
6 10 4
direct
0.173 0.242 0.415
0.250 0.250 0.000
0.327 0.742 0.069
0.673 0.258 0.931
0.750 0.750 0.000
0.827 0.758 0.585
0.020 0.750 0.270
0.070 0.714 0.784
0.250 0.750 0.500
0.430 0.214 0.644
0.480 0.750 0.730
0.520 0.250 0.270
0.570 0.786 0.356
0.750 0.250 0.500
0.930 0.286 0.216
0.980 0.250 0.730
0.160 0.894 0.054
0.340 0.394 0.733
0.660 0.606 0.267
0.840 0.106 0.946
```

Calculated values
Its calculated formation energy is -0.03 eV per atom. The total magnetization is 0.0 Bohr magnetons per cell.

Record 19
First-principles (PBE) data for an optimized crystal structure of Tl2FeSi, as listed in Alexandria via LeMat-Bulk.

The structure in POSCAR format:
```
Tl2FeSi
1.0
3.952 0.000 0.000
0.000 3.661 0.000
-0.965 0.000 5.847
Tl Fe Si
2 1 1
direct
0.025 0.000 0.255
0.975 0.000 0.745
0.500 0.500 0.500
0.500 0.500 0.000
```

Calculated values
The value obtained for the offset from the most stable computed form is 508 meV/atom. For the formation energy (no corrections), the calculation gives 0.741 eV per atom. The total magnetization is 2.8 Bohr magnetons per cell.

Record 20
First-principles (PBE) data for an optimized crystal structure of Nd2NiOs, as listed in Alexandria via LeMat-Bulk.

The structure in POSCAR format:
```
Nd2NiOs
1.0
1.688 0.975 9.532
-1.688 0.975 9.532
0.000 -1.949 9.532
Nd Ni Os
2 1 1
direct
0.091 0.091 0.091
0.909 0.909 0.909
0.000 0.000 0.000
0.500 0.500 0.500
```

Calculated values
Its calculated formation energy is 0.64 eV per atom. The total magnetization is 0.0 Bohr magnetons per cell.